P.
# PBE AuI2Cl, relaxed
data_AuI2Cl
_chemical_formula_sum 'Au2 I4 Cl2'
_cell_length_a 4.679
_cell_length_b 6.313
_cell_length_c 11.191
_cell_angle_alpha 90.00
_cell_angle_beta 89.98
_cell_angle_gamma 89.94
_symmetry_space_group_name_H-M 'P 1'
_symmetry_Int_Tables_number 1
loop_
_symmetry_equiv_pos_as_xyz
'x,y,z'
loop_
_atom_site_label
_atom_site_fract_x
_atom_site_fract_y
_atom_site_fract_z
Au1 0.000 0.000 0.000
Au2 0.494 0.120 0.500
I1 0.497 0.376 0.699
I2 0.499 0.004 0.873
I3 0.995 0.116 0.373
I4 0.996 0.744 0.199
Cl1 0.495 0.696 0.559
Cl2 0.997 0.423 0.059
# mass density	4.9	g/cm³


Q.
# PBE AuI2Cl, relaxed
data_AuI2Cl
_chemical_formula_sum 'Au4 I8 Cl4'
_cell_length_a 7.463
_cell_length_b 7.463
_cell_length_c 7.463
_cell_angle_alpha 90.00
_cell_angle_beta 90.00
_cell_angle_gamma 90.00
_symmetry_space_group_name_H-M 'F m -3 m'
_symmetry_Int_Tables_number 225
_symmetry_space_group_name_Hall '-F 4 2 3'
loop_
_atom_site_label
_atom_site_fract_x
_atom_site_fract_y
_atom_site_fract_z
Au1 0.000 0.000 0.000
I1 0.250 0.250 0.250
Cl1 0.000 0.000 0.500
# mass density	7.8	g/cm³


So which one is most stable? That would be P, about 502 meV per atom below the next structure.


P.
# PBE AuICl3, relaxed
data_AuICl3
_chemical_formula_sum 'Au1 I1 Cl3'
_cell_length_a 5.096
_cell_length_b 5.096
_cell_length_c 5.096
_cell_angle_alpha 90.00
_cell_angle_beta 90.00
_cell_angle_gamma 90.00
_symmetry_space_group_name_H-M 'P m -3 m'
_symmetry_Int_Tables_number 221
_symmetry_space_group_name_Hall '-P 4 2 3'
loop_
_atom_site_label
_atom_site_fract_x
_atom_site_fract_y
_atom_site_fract_z
Au1 0.000 0.000 0.000
I1 0.500 0.500 0.500
Cl1 0.000 0.000 0.500
# mass density	5.4	g/cm³


Q.
# PBE AuICl3, relaxed
data_AuICl3
_chemical_formula_sum 'Au4 I4 Cl12'
_cell_length_a 10.848
_cell_length_b 5.368
_cell_length_c 12.827
_cell_angle_alpha 90.00
_cell_angle_beta 118.67
_cell_angle_gamma 90.00
_symmetry_space_group_name_H-M 'P 1 21/c 1'
_symmetry_Int_Tables_number 14
loop_
_symmetry_equiv_pos_as_xyz
'x,y,z'
'-x,-y,-z'
'-x,y+1/2,-z+1/2'
'x,-y+1/2,z+1/2'
loop_
_atom_site_label
_atom_site_fract_x
_atom_site_fract_y
_atom_site_fract_z
Au1 0.244 0.007 0.126
I1 0.229 0.746 0.443
Cl1 0.091 0.726 0.139
Cl2 0.281 0.193 0.306
Cl3 0.389 0.197 0.607
# mass density	4.4	g/cm³


R.
# PBE AuICl3, relaxed
data_AuICl3
_chemical_formula_sum 'Au4 I4 Cl12'
_cell_length_a 4.861
_cell_length_b 11.637
_cell_length_c 14.498
_cell_angle_alpha 109.61
_cell_angle_beta 94.22
_cell_angle_gamma 97.51
_symmetry_space_group_name_H-M 'P -1'
_symmetry_Int_Tables_number 2
loop_
_symmetry_equiv_pos_as_xyz
'x,y,z'
'-x,-y,-z'
loop_
_atom_site_label
_atom_site_fract_x
_atom_site_fract_y
_atom_site_fract_z
Au1 0.044 0.221 0.396
Au2 0.391 0.325 0.656
I1 0.161 0.996 0.739
I2 0.383 0.553 0.823
Cl1 0.033 0.986 0.112
Cl2 0.176 0.399 0.545
Cl3 0.282 0.906 0.545
Cl4 0.318 0.315 0.308
Cl5 0.340 0.745 0.947
Cl6 0.395 0.751 0.238
# mass density	3.8	g/cm³


So which one is most stable? That would be R, about 65 meV per atom below the next structure.


P.
# PBE AuI3Cl, relaxed
data_AuI3Cl
_chemical_formula_sum 'Au2 I6 Cl2'
_cell_length_a 8.476
_cell_length_b 3.935
_cell_length_c 13.113
_cell_angle_alpha 90.00
_cell_angle_beta 95.05
_cell_angle_gamma 90.00
_symmetry_space_group_name_H-M 'P 1 21/m 1'
_symmetry_Int_Tables_number 11
loop_
_symmetry_equiv_pos_as_xyz
'x,y,z'
'-x,-y,-z'
'-x,y+1/2,-z'
'x,-y+1/2,z'
loop_
_atom_site_label
_atom_site_fract_x
_atom_site_fract_y
_atom_site_fract_z
Au1 0.227 0.250 0.331
I1 0.010 0.750 0.334
I2 0.149 0.250 0.018
I3 0.444 0.750 0.332
Cl1 0.270 0.750 0.657
# mass density	4.7	g/cm³


Q.
# PBE AuI3Cl, relaxed
data_AuI3Cl
_chemical_formula_sum 'Au2 I6 Cl2'
_cell_length_a 6.462
_cell_length_b 8.280
_cell_length_c 10.474
_cell_angle_alpha 103.87
_cell_angle_beta 101.14
_cell_angle_gamma 107.22
_symmetry_space_group_name_H-M 'P -1'
_symmetry_Int_Tables_number 2
loop_
_symmetry_equiv_pos_as_xyz
'x,y,z'
'-x,-y,-z'
loop_
_atom_site_label
_atom_site_fract_x
_atom_site_fract_y
_atom_site_fract_z
Au1 0.000 0.000 0.000
Au2 0.500 0.500 0.500
I1 0.179 0.187 0.436
I2 0.252 0.720 0.540
I3 0.297 0.836 0.013
Cl1 0.245 0.258 0.982
# mass density	4.1	g/cm³


R.
# PBE AuI3Cl, relaxed
data_AuI3Cl
_chemical_formula_sum 'Au1 I3 Cl1'
_cell_length_a 5.686
_cell_length_b 5.686
_cell_length_c 5.686
_cell_angle_alpha 90.00
_cell_angle_beta 90.00
_cell_angle_gamma 90.00
_symmetry_space_group_name_H-M 'P m -3 m'
_symmetry_Int_Tables_number 221
_symmetry_space_group_name_Hall '-P 4 2 3'
loop_
_atom_site_label
_atom_site_fract_x
_atom_site_fract_y
_atom_site_fract_z
Au1 0.000 0.000 0.000
I1 0.000 0.500 0.500
Cl1 0.500 0.500 0.500
# mass density	5.5	g/cm³


So which one is most stable? That would be Q, about 59 meV per atom below the next structure.


P.
# PBE Au2ICl6, relaxed
data_Au2ICl6
_chemical_formula_sum 'Au8 I4 Cl24'
_cell_length_a 12.856
_cell_length_b 12.471
_cell_length_c 8.030
_cell_angle_alpha 90.00
_cell_angle_beta 91.73
_cell_angle_gamma 90.00
_symmetry_space_group_name_H-M 'C 1 2/c 1'
_symmetry_Int_Tables_number 15
loop_
_symmetry_equiv_pos_as_xyz
'x,y,z'
'-x,-y,-z'
'-x,y,-z+1/2'
'x,-y,z+1/2'
'x+1/2,y+1/2,z'
'-x+1/2,-y+1/2,-z'
'-x+1/2,y+1/2,-z+1/2'
'x+1/2,-y+1/2,z+1/2'
loop_
_atom_site_label
_atom_site_fract_x
_atom_site_fract_y
_atom_site_fract_z
Au1 0.211 0.036 0.132
I1 0.000 0.420 0.250
Cl1 0.101 0.001 0.409
Cl2 0.133 0.287 0.204
Cl3 0.141 0.419 0.705
# mass density	3.8	g/cm³


Q.
# PBE Au2ICl6, relaxed
data_Au2ICl6
_chemical_formula_sum 'Au8 I4 Cl24'
_cell_length_a 10.991
_cell_length_b 14.636
_cell_length_c 7.886
_cell_angle_alpha 90.00
_cell_angle_beta 97.10
_cell_angle_gamma 90.00
_symmetry_space_group_name_H-M 'C 1 2/c 1'
_symmetry_Int_Tables_number 15
loop_
_symmetry_equiv_pos_as_xyz
'x,y,z'
'-x,-y,-z'
'-x,y,-z+1/2'
'x,-y,z+1/2'
'x+1/2,y+1/2,z'
'-x+1/2,-y+1/2,-z'
'-x+1/2,y+1/2,-z+1/2'
'x+1/2,-y+1/2,z+1/2'
loop_
_atom_site_label
_atom_site_fract_x
_atom_site_fract_y
_atom_site_fract_z
Au1 0.124 0.000 0.277
I1 0.000 0.369 0.250
Cl1 0.117 0.091 0.526
Cl2 0.142 0.497 0.661
Cl3 0.145 0.256 0.168
# mass density	3.9	g/cm³


So which one is most stable? That would be Q, about 47 meV per atom below the next structure.